Entry 1:
The following is a DFT calculation (PBE) of crystalline SnBi2Au at its relaxed geometry.

```
4
Lattice="0.0000 3.7783 3.7783 3.7783 0.0000 3.7783 3.7783 3.7783 0.0000" Properties=species:S:1:pos:R:3 pbc="T T T"
Au 3.7783 3.7783 3.7783
Bi 0.0000 0.0000 0.0000
Bi 5.6674 5.6674 5.6674
Sn 1.8892 1.8892 1.8892
```

Calculated values
**DFT total energy**: -3.711 eV/atom
**Crystal system**: cubic

***

Entry 2:
The following is a DFT calculation (PBE) of crystalline Rb2HfSe3 at its relaxed geometry.

```
12
Lattice="8.3221 0.0000 0.0000 0.0000 4.0373 0.0000 -1.1659 0.0000 11.0227" Properties=species:S:1:pos:R:3 pbc="T T T"
Hf 4.7799 1.0093 1.8380
Hf 2.3763 3.0280 9.1847
Rb 0.5046 3.0280 1.6023
Rb 1.5172 1.0093 5.2783
Rb 5.6390 3.0280 5.7445
Rb 6.6516 1.0093 9.4204
Se 5.6517 3.0280 0.1561
Se 3.4827 3.0280 3.1144
Se 6.8329 1.0093 3.3140
Se 0.3233 3.0280 7.7087
Se 3.6735 1.0093 7.9083
Se 1.5045 1.0093 10.8667
```

Calculated values
**Total magnetic moment**: 0.00 μB per formula unit
**DFT total energy**: -5.031 eV/atom
**Crystal system**: monoclinic

***

Entry 3:
The following is a DFT calculation (PBE) of crystalline HfZr2NiAs4Pd3 at its relaxed geometry.

```
11
Lattice="-2.9712 -4.3329 3.9867 -1.0656 -2.1163 -3.0942 6.6101 -3.9303 0.4118" Properties=species:S:1:pos:R:3 pbc="T T T"
As 0.1554 -1.5697 1.0201
As 0.2413 -4.7646 3.1757
As 2.8048 -4.5298 -0.3220
As 2.9673 -7.8795 1.9131
Hf 0.1783 -4.2958 0.4224
Ni 2.4609 -2.4231 0.8099
Pd -1.4957 -3.0061 2.5711
Pd 0.6600 -7.0072 2.1110
Pd 4.5725 -6.2972 0.2781
Zr -2.1681 -5.9860 2.3865
Zr 2.9597 -5.0051 2.4040
```

Calculated values
**Total magnetic moment**: 0.01 μB per formula unit
**DFT total energy**: -6.884 eV/atom
**Energy above the lowest structure with this stoichiometry**: 4 meV/atom
**Crystal system**: monoclinic

***

Entry 4:
The following is a DFT calculation (PBE) of crystalline Pr5Zr3Ni16As12 at its relaxed geometry.

```
36
Lattice="-7.6580 9.7995 -3.2074 -4.9523 -10.4768 5.5385 0.5796 1.6347 3.6105" Properties=species:S:1:pos:R:3 pbc="T T T"
As -2.7907 3.5711 -1.1688
As -6.2751 8.0299 -2.6282
As -2.2770 -0.1223 0.4209
As -1.8047 -3.8179 2.0183
As -8.0144 -0.4304 1.4815
As -4.0580 -8.5849 4.5384
As -5.9064 5.8541 0.5196
As -4.8373 2.2985 1.9577
As -4.3719 -1.1896 3.4623
As -8.6551 3.4218 2.0621
As -4.4835 -4.8085 5.1187
As -7.8377 -2.7040 4.7043
Ni 0.0000 0.0000 0.0000
Ni -7.1139 5.9519 -1.5527
Ni -3.8599 1.7065 -0.1530
Ni -3.3527 -2.0938 1.4862
Ni -9.2948 1.4641 0.8293
Ni -5.4355 -6.6259 3.8725
Ni -8.7746 -2.4345 2.5109
Ni -5.2604 7.9196 -0.5193
Ni -4.0194 4.3348 0.9045
Ni -3.1811 0.6309 2.4469
Ni -8.2769 5.6065 1.0122
Ni -3.0260 -3.1096 4.1155
Ni -7.1024 1.6330 2.6227
Ni -6.7811 -0.7750 3.6614
Ni -3.2994 -6.7758 5.8193
Ni -6.8859 -4.8173 5.5084
Pr -6.7562 3.0411 -0.2922
Pr -5.8542 -3.7184 2.6234
Pr -1.1551 2.6663 1.2001
Pr -0.6446 -1.1594 2.8503
Pr -9.9415 0.2679 3.6966
Zr -4.3713 5.5937 -1.8308
Zr -5.4130 -0.2907 1.0006
Zr -2.8268 -5.9803 3.1614
```

Calculated values
**Total magnetic moment**: 0.01 μB per formula unit
**DFT total energy**: -6.236 eV/atom
**Crystal system**: hexagonal

***

Entry 5:
The following is a DFT calculation (PBE) of crystalline TmAuNO at its relaxed geometry.

```
8
Lattice="-0.4360 -1.5978 -3.6462 -1.4377 -6.3248 2.9435 -5.0631 1.1900 0.0840" Properties=species:S:1:pos:R:3 pbc="T T T"
Au -1.0599 -2.9077 1.4009
Au -3.6667 -2.6441 1.5971
N -2.2253 -1.3857 0.8733
N -5.3708 -3.4916 2.1723
O -3.2956 -5.9357 0.7959
O -4.7357 -0.5396 -1.3965
Tm -2.7863 -1.2351 -1.3248
Tm -6.3068 -4.9906 0.7418
```

Calculated values
**Total magnetic moment**: 0.37 μB per formula unit
**DFT total energy**: -6.298 eV/atom
**Energy above the lowest structure with this stoichiometry**: 187 meV/atom
**Crystal system**: orthorhombic

***

Entry 6:
The following is a DFT calculation (PBE) of crystalline AgAsH6Au at its relaxed geometry.

```
9
Lattice="0.0000 3.5241 3.5241 3.5241 0.0000 3.5241 3.5241 3.5241 0.0000" Properties=species:S:1:pos:R:3 pbc="T T T"
Ag 3.5241 3.5241 3.5241
As 0.0000 0.0000 0.0000
Au 1.7620 1.7620 1.7620
H 3.5368 5.2861 5.2861
H 5.2861 3.5368 5.2861
H 5.2861 5.2861 7.0354
H 5.2861 5.2861 3.5368
H 5.2861 7.0354 5.2861
H 7.0354 5.2861 5.2861
```

Calculated values
**DFT total energy**: -2.703 eV/atom
**Crystal system**: cubic

***

Entry 7:
The following is a DFT calculation (PBE) of crystalline LiAg3SnS4 at its relaxed geometry.

```
9
Lattice="6.1380 0.0000 0.0000 0.0000 6.1380 0.0000 0.0000 0.0000 6.1380" Properties=species:S:1:pos:R:3 pbc="T T T"
Ag 3.0690 3.0690 0.0000
Ag 3.0690 0.0000 3.0690
Ag 0.0000 3.0690 3.0690
Li 0.0000 0.0000 0.0000
S 1.6314 1.6314 1.6314
S 4.5066 4.5066 1.6314
S 4.5066 1.6314 4.5066
S 1.6314 4.5066 4.5066
Sn 3.0690 3.0690 3.0690
```

Calculated values
**DFT total energy**: -3.643 eV/atom
**Energy above the lowest structure with this stoichiometry**: 124 meV/atom
**Crystal system**: cubic

***

Entry 8:
The following is a DFT calculation (PBE) of crystalline SrBi12Ir4 at its relaxed geometry.

```
17
Lattice="7.3473 -2.5143 3.5912 -6.2292 -0.1231 5.8637 -2.0066 -5.3065 -6.4043" Properties=species:S:1:pos:R:3 pbc="T T T"
Bi 2.2368 -6.0536 -1.9531
Bi -2.4790 -4.9511 -2.7784
Bi -2.1128 -5.8149 0.3183
Bi 1.2243 -2.1290 2.7323
Bi 1.5905 -2.9928 5.8290
Bi -3.1253 -1.8903 5.0037
Bi 4.4005 -3.9210 1.9076
Bi -2.5916 -2.2446 1.3200
Bi 0.4876 -3.4921 -1.0318
Bi -1.3761 -4.4518 4.0823
Bi 1.7031 -5.6993 1.7306
Bi -5.2890 -4.0229 1.1430
Ir 3.6737 -1.2571 1.7956
Ir -3.1146 -0.0615 2.9319
Ir -1.0033 -2.6533 -3.2022
Ir -0.4443 -3.9720 1.5253
Sr 0.0000 0.0000 0.0000
```

Calculated values
**Total magnetic moment**: 0.01 μB per formula unit
**DFT total energy**: -5.170 eV/atom
**Crystal system**: cubic

***

Entry 9:
The following is a DFT calculation (PBE) of crystalline Ho5TlIn3 at its relaxed geometry.

```
18
Lattice="-6.5075 1.4410 6.4340 6.7853 -6.1106 1.5621 3.7070 4.7999 2.6743" Properties=species:S:1:pos:R:3 pbc="T T T"
Ho -2.0765 -1.0762 4.8100
Ho 2.3544 -3.5934 3.1860
Ho -3.6790 2.2198 5.2223
Ho 1.0079 -0.1647 3.0054
Ho 5.7291 -3.1249 1.7741
Ho -0.2231 1.3237 6.1472
Ho 4.2079 -1.1935 4.5232
Ho 0.8785 4.0210 3.8860
Ho 4.7632 1.8142 2.4622
Ho 2.9769 0.2949 7.6650
In -1.4924 1.7356 3.0604
In 3.4492 -1.0716 1.2493
In 1.1013 -1.7338 5.6921
In -1.3081 4.5052 6.0479
In 2.8835 1.8640 4.9782
In 7.0431 -0.2391 2.9871
Tl 0.0000 0.0000 0.0000
Tl 1.8535 2.3999 1.3372
```

Calculated values
**Total magnetic moment**: 0.03 μB per formula unit
**DFT total energy**: -4.123 eV/atom
**Crystal system**: hexagonal

***

Entry 10:
The following is a DFT calculation (PBE) of crystalline Bi3Au2 at its relaxed geometry.

```
15
Lattice="-1.9366 -0.2605 7.3415 6.4500 0.7780 3.9379 0.1247 7.1741 2.4963" Properties=species:S:1:pos:R:3 pbc="T T T"
Au 4.6159 0.8927 6.4415
Au 1.9744 1.3709 9.7077
Au -1.2593 2.7703 7.3713
Au 5.8975 4.9214 6.4043
Au 2.6637 6.3208 4.0680
Au 0.0222 6.7990 7.3342
Bi 0.0000 0.0000 0.0000
Bi 1.3170 1.5092 6.6555
Bi 0.9556 1.5848 2.8383
Bi 4.0832 3.1088 8.5797
Bi 3.7569 3.2424 4.8663
Bi 0.8812 4.4493 8.9093
Bi 0.5549 4.5828 5.1959
Bi 3.6825 6.1069 10.9374
Bi 3.3212 6.1825 7.1201
```

Calculated values
**DFT total energy**: -3.733 eV/atom
**Crystal system**: trigonal

***

Entry 11:
The following is a DFT calculation (PBE) of crystalline Ho4SnTeC2 at its relaxed geometry.

```
8
Lattice="3.6949 0.0000 0.0000 -1.8474 3.1999 0.0000 0.0000 0.0000 14.9373" Properties=species:S:1:pos:R:3 pbc="T T T"
C 1.8474 1.0666 3.8845
C 1.8474 1.0666 11.0528
Ho 0.0000 0.0000 2.5532
Ho 0.0000 2.1332 5.1821
Ho 0.0000 2.1332 9.7553
Ho 0.0000 0.0000 12.3841
Sn 0.0000 2.1332 0.0000
Te 0.0000 0.0000 7.4687
```

Calculated values
**Total magnetic moment**: 0.00 μB per formula unit
**DFT total energy**: -6.188 eV/atom
**Crystal system**: hexagonal

***

Entry 12:
The following is a DFT calculation (PBE) of crystalline Fe4PbC2Se at its relaxed geometry.

```
8
Lattice="3.0973 0.0000 0.0000 -1.5486 2.6823 0.0000 0.0000 0.0000 12.0488" Properties=species:S:1:pos:R:3 pbc="T T T"
C 1.5486 0.8941 3.1857
C 1.5486 0.8941 8.8631
Fe 0.0000 1.7882 2.4118
Fe 0.0000 0.0000 4.1457
Fe 0.0000 0.0000 7.9031
Fe 0.0000 1.7882 9.6370
Pb 0.0000 0.0000 0.0000
Se 0.0000 1.7882 6.0244
```

Calculated values
**Total magnetic moment**: 5.37 μB per formula unit
**DFT total energy**: -7.080 eV/atom
**Crystal system**: hexagonal